# PBEsol HgSbPb2, relaxed
# E_form (uncorrected) in eV per atom: 0.024
# Final energy in eV/atom: -3.2561
# Density of states at the Fermi level in states/eV/f.u.: 1.70
data_HgSbPb2
_space_group_name_H-M_alt 'P 1'
_space_group_IT_number 1
_cell_length_a 5.382
_cell_length_b 5.382
_cell_length_c 5.382
_cell_angle_alpha 60.00
_cell_angle_beta 60.00
_cell_angle_gamma 60.00
loop_
_space_group_symop_operation_xyz
'x,y,z'
loop_
_atom_site_label
_atom_site_fract_x
_atom_site_fract_y
_atom_site_fract_z
Hg1 0.000 0.000 0.000
Sb1 0.500 0.500 0.500
Pb1 0.250 0.250 0.250
Pb2 0.750 0.750 0.750